DFT (PBEsol) results for a relaxed structure of Zr2CdRh.

```
Zr2CdRh
1.0
-0.497 -1.865 2.643
2.400 -2.005 -0.964
4.693 3.878 3.619
Rh Zr Cd
1 2 1
direct
0.500 0.500 0.764
0.000 0.000 0.961
0.500 0.500 0.248
0.000 0.000 0.527
```

Computed properties:
DFT formation energy   -0.383 eV/atom
Density of states at the Fermi level   0.450 states/eV/atom
Symmetry   No. 99
Calculated volume   75.8 Å³ per cell
Size of the total moment   0.0001 μB per atom